Record 1
Al2InN after structural relaxation, computed with PBE-GGA.

a = 5.5625 Å, b = 5.5625 Å, c = 6.0662 Å
α = 62.71°, β = 62.71°, γ = 90.00°
Element x y z (fractional)
N  0.5000  0.5000  0.0000
N  0.2500  0.7500  0.5000
Al  0.4975  0.1250  0.2500
Al  0.2525  0.6250  0.2500
Al  0.3750  0.5025  0.7500
Al  0.8750  0.7475  0.7500
In  0.0000  0.0000  0.0000
In  0.7500  0.2500  0.5000

Calculated values
* uncorrected formation energy: -0.202 eV/atom
* distance to the lowest polymorph of the same formula: 0 meV per atom

Record 2
AlInN3 after structural relaxation, computed with PBE-GGA.

a = 4.1860 Å, b = 4.1860 Å, c = 4.1860 Å
α = 90.00°, β = 90.00°, γ = 90.00°
Element x y z (fractional)
N  0.0000  0.5000  0.0000
N  0.0000  0.0000  0.5000
N  0.5000  0.0000  0.0000
Al  0.5000  0.5000  0.5000
In  0.0000  0.0000  0.0000

Calculated values
* uncorrected formation energy: 1.993 eV/atom

Record 3
AlInN after structural relaxation, computed with PBE-GGA.

a = 5.8643 Å, b = 3.2088 Å, c = 5.7478 Å
α = 106.19°, β = 90.00°, γ = 90.00°
Element x y z (fractional)
N  0.0000  0.9001  0.6316
N  0.5000  0.5041  0.8396
In  0.2500  0.7031  0.2356
In  0.7500  0.7031  0.2356
Al  0.0000  0.4738  0.7793
Al  0.5000  0.9303  0.6919

Calculated values
* uncorrected formation energy: -0.064 eV/atom

Record 4
AlInN2 after structural relaxation, computed with PBE-GGA.

a = 6.2553 Å, b = 6.2553 Å, c = 6.2553 Å
α = 29.21°, β = 29.21°, γ = 29.21°
Element x y z (fractional)
N  0.8872  0.8872  0.8872
N  0.1128  0.1128  0.1128
Al  0.5000  0.5000  0.5000
In  0.0000  0.0000  0.0000

Calculated values
* uncorrected formation energy: 0.035 eV/atom

Record 5
AlInN2 after structural relaxation, computed with PBE-GGA.

a = 3.3166 Å, b = 5.7532 Å, c = 5.8159 Å
α = 80.46°, β = 90.00°, γ = 73.25°
Element x y z (fractional)
Al  0.3598  0.9736  0.2407
Al  0.1010  0.4912  0.4785
In  0.6090  0.4754  0.9978
In  0.8500  0.9933  0.7195
N  0.1848  0.3236  0.2163
N  0.9247  0.8439  0.3933
N  0.6485  0.3962  0.6422
N  0.4093  0.8747  0.9463

Calculated values
* uncorrected formation energy: -0.598 eV/atom

Record 6
AlInN2 after structural relaxation, computed with PBE-GGA.

a = 4.7490 Å, b = 4.7490 Å, c = 5.7193 Å
α = 65.47°, β = 65.47°, γ = 90.00°
Element x y z (fractional)
N  0.5757  0.1250  0.2500
N  0.1743  0.6250  0.2500
N  0.3750  0.4243  0.7500
N  0.8750  0.8257  0.7500
Al  0.5000  0.5000  0.0000
Al  0.2500  0.7500  0.5000
In  0.0000  0.0000  0.0000
In  0.7500  0.2500  0.5000

Calculated values
* uncorrected formation energy: -0.624 eV/atom

Record 7
AlInN2 after structural relaxation, computed with PBE-GGA.

a = 5.7627 Å, b = 6.7010 Å, c = 5.4108 Å
α = 90.00°, β = 90.00°, γ = 90.00°
Element x y z (fractional)
Al  0.5761  0.3744  0.0045
Al  0.4239  0.6256  0.5045
Al  0.9239  0.8744  0.5045
Al  0.0761  0.1256  0.0045
In  0.5908  0.8764  0.0020
In  0.4092  0.1236  0.5020
In  0.9092  0.3764  0.5020
In  0.0908  0.6236  0.0020
N  0.5593  0.3972  0.3556
N  0.4407  0.6028  0.8556
N  0.9407  0.8972  0.8556
N  0.0593  0.1028  0.3556
N  0.6045  0.8525  0.4080
N  0.3955  0.1475  0.9080
N  0.8955  0.3525  0.9080
N  0.1045  0.6475  0.4080

Calculated values
* uncorrected formation energy: -0.642 eV/atom

Record 8
AlInN2 after structural relaxation, computed with PBE-GGA.

a = 6.0874 Å, b = 6.0874 Å, c = 6.0874 Å
α = 33.32°, β = 33.32°, γ = 33.32°
Element x y z (fractional)
N  0.8988  0.8988  0.8988
N  0.1012  0.1012  0.1012
Al  0.0000  0.0000  0.0000
In  0.5000  0.5000  0.5000

Calculated values
* uncorrected formation energy: 0.193 eV/atom

Record 9
AlIn4N2 after structural relaxation, computed with PBE-GGA.

a = 5.5515 Å, b = 5.5515 Å, c = 7.0348 Å
α = 66.76°, β = 66.76°, γ = 90.00°
Element x y z (fractional)
N  0.5523  0.5523  0.8953
N  0.4477  0.4477  0.1047
Al  0.0000  0.0000  0.0000
In  0.7490  0.7490  0.5020
In  0.2510  0.2510  0.4980
In  0.0000  0.5000  0.0000
In  0.5000  0.0000  0.0000

Calculated values
* uncorrected formation energy: 0.552 eV/atom

Record 10
AlInN3 after structural relaxation, computed with PBE-GGA.

a = 3.8064 Å, b = 3.8064 Å, c = 3.8064 Å
α = 90.00°, β = 90.00°, γ = 90.00°
Element x y z (fractional)
N  0.0000  0.5000  0.0000
N  0.0000  0.0000  0.5000
N  0.5000  0.0000  0.0000
Al  0.0000  0.0000  0.0000
In  0.5000  0.5000  0.5000

Calculated values
* uncorrected formation energy: 0.846 eV/atom

Record 11
Nd12AlIn4N3 after structural relaxation, computed with PBE-GGA.

a = 8.9759 Å, b = 8.9759 Å, c = 8.9759 Å
α = 109.47°, β = 109.47°, γ = 109.47°
Element x y z (fractional)
Nd  0.2500  0.5000  0.7500
Nd  0.7292  0.0000  0.7292
Nd  0.2708  0.0000  0.2708
Nd  0.7500  0.5000  0.2500
Nd  0.7292  0.7292  0.0000
Nd  0.2708  0.2708  0.0000
Nd  0.7500  0.2500  0.5000
Nd  0.2500  0.7500  0.5000
Nd  0.5000  0.2500  0.7500
Nd  0.0000  0.7292  0.7292
Nd  0.5000  0.7500  0.2500
Nd  0.0000  0.2708  0.2708
Al  0.0000  0.0000  0.0000
In  0.5000  0.5000  0.5000
In  0.0000  0.0000  0.5000
In  0.5000  0.0000  0.0000
In  0.0000  0.5000  0.0000
N  0.5000  0.0000  0.5000
N  0.5000  0.5000  0.0000
N  0.0000  0.5000  0.5000

Calculated values
* uncorrected formation energy: -0.576 eV/atom

Record 12
AlInNO2 after structural relaxation, computed with PBE-GGA.

a = 3.6905 Å, b = 3.6905 Å, c = 3.9434 Å
α = 90.00°, β = 90.00°, γ = 90.00°
Element x y z (fractional)
N  0.0000  0.0000  0.5000
Al  0.0000  0.0000  0.0000
O  0.0000  0.5000  0.0000
O  0.5000  0.0000  0.0000
In  0.5000  0.5000  0.5000

Calculated values
* uncorrected formation energy: -0.888 eV/atom

Record 13
AlInNO2 after structural relaxation, computed with PBE-GGA.

a = 4.0614 Å, b = 4.0614 Å, c = 4.2159 Å
α = 90.00°, β = 90.00°, γ = 90.00°
Element x y z (fractional)
N  0.0000  0.0000  0.5000
Al  0.5000  0.5000  0.5000
O  0.0000  0.5000  0.0000
O  0.5000  0.0000  0.0000
In  0.0000  0.0000  0.0000

Calculated values
* uncorrected formation energy: 0.359 eV/atom

Record 14
AlInP2N after structural relaxation, computed with PBE-GGA.

a = 5.1409 Å, b = 3.9987 Å, c = 5.1409 Å
α = 90.00°, β = 90.00°, γ = 90.00°
Element x y z (fractional)
P  0.0000  0.0000  0.5000
P  0.5000  0.0000  0.0000
N  0.0000  0.5000  0.0000
Al  0.5000  0.5000  0.5000
In  0.0000  0.0000  0.0000

Calculated values
* uncorrected formation energy: 1.450 eV/atom

Record 15
Pm12Al4InN3 after structural relaxation, computed with PBE-GGA.

a = 8.9053 Å, b = 8.9053 Å, c = 8.9053 Å
α = 109.47°, β = 109.47°, γ = 109.47°
Element x y z (fractional)
Pm  0.2500  0.5000  0.7500
Pm  0.7243  0.0000  0.7243
Pm  0.2757  0.0000  0.2757
Pm  0.7500  0.5000  0.2500
Pm  0.7243  0.7243  0.0000
Pm  0.2757  0.2757  0.0000
Pm  0.7500  0.2500  0.5000
Pm  0.2500  0.7500  0.5000
Pm  0.5000  0.2500  0.7500
Pm  0.0000  0.7243  0.7243
Pm  0.5000  0.7500  0.2500
Pm  0.0000  0.2757  0.2757
Al  0.5000  0.5000  0.5000
Al  0.0000  0.0000  0.5000
Al  0.5000  0.0000  0.0000
Al  0.0000  0.5000  0.0000
In  0.0000  0.0000  0.0000
N  0.5000  0.0000  0.5000
N  0.5000  0.5000  0.0000
N  0.0000  0.5000  0.5000

Calculated values
* uncorrected formation energy: -0.434 eV/atom

Record 16
Pr12AlIn4N3 after structural relaxation, computed with PBE-GGA.

a = 9.0550 Å, b = 9.0550 Å, c = 9.0550 Å
α = 109.47°, β = 109.47°, γ = 109.47°
Element x y z (fractional)
Pr  0.2500  0.5000  0.7500
Pr  0.7291  0.0000  0.7291
Pr  0.2709  0.0000  0.2709
Pr  0.7500  0.5000  0.2500
Pr  0.7291  0.7291  0.0000
Pr  0.2709  0.2709  0.0000
Pr  0.7500  0.2500  0.5000
Pr  0.2500  0.7500  0.5000
Pr  0.5000  0.2500  0.7500
Pr  0.0000  0.7291  0.7291
Pr  0.5000  0.7500  0.2500
Pr  0.0000  0.2709  0.2709
Al  0.0000  0.0000  0.0000
In  0.5000  0.5000  0.5000
In  0.0000  0.0000  0.5000
In  0.5000  0.0000  0.0000
In  0.0000  0.5000  0.0000
N  0.5000  0.0000  0.5000
N  0.5000  0.5000  0.0000
N  0.0000  0.5000  0.5000

Calculated values
* uncorrected formation energy: -0.553 eV/atom

Record 17
AlInSN2 after structural relaxation, computed with PBE-GGA.

a = 4.1836 Å, b = 4.1836 Å, c = 5.5391 Å
α = 90.00°, β = 90.00°, γ = 90.00°
Element x y z (fractional)
S  0.0000  0.0000  0.5000
N  0.0000  0.5000  0.0000
N  0.5000  0.0000  0.0000
Al  0.5000  0.5000  0.5000
In  0.0000  0.0000  0.0000

Calculated values
* uncorrected formation energy: 1.372 eV/atom
* distance to the lowest polymorph of the same formula: 902 meV per atom

Record 18
AlInSN2 after structural relaxation, computed with PBE-GGA.

a = 3.7336 Å, b = 3.7336 Å, c = 5.6216 Å
α = 90.00°, β = 90.00°, γ = 90.00°
Element x y z (fractional)
S  0.0000  0.0000  0.5000
N  0.0000  0.5000  0.0000
N  0.5000  0.0000  0.0000
Al  0.0000  0.0000  0.0000
In  0.5000  0.5000  0.5000

Calculated values
* uncorrected formation energy: 0.470 eV/atom
* distance to the lowest polymorph of the same formula: 0 meV per atom

Record 19
AlInSeN2 after structural relaxation, computed with PBE-GGA.

a = 3.8055 Å, b = 3.8055 Å, c = 5.6685 Å
α = 90.00°, β = 90.00°, γ = 90.00°
Element x y z (fractional)
N  0.0000  0.5000  0.0000
N  0.5000  0.0000  0.0000
Al  0.0000  0.0000  0.0000
Se  0.0000  0.0000  0.5000
In  0.5000  0.5000  0.5000

Calculated values
* uncorrected formation energy: 0.531 eV/atom
* distance to the lowest polymorph of the same formula: 0 meV per atom

Record 20
AlInSe2N after structural relaxation, computed with PBE-GGA.

a = 5.2052 Å, b = 5.2052 Å, c = 3.6010 Å
α = 90.00°, β = 90.00°, γ = 90.00°
Element x y z (fractional)
N  0.0000  0.0000  0.5000
Al  0.0000  0.0000  0.0000
Se  0.0000  0.5000  0.0000
Se  0.5000  0.0000  0.0000
In  0.5000  0.5000  0.5000

Calculated values
* uncorrected formation energy: 0.082 eV/atom
* distance to the lowest polymorph of the same formula: 0 meV per atom

Number 1: final energy -4.839 eV/atom. Number 2: final energy -4.299 eV/atom. Number 3: final energy -5.000 eV/atom. Number 4: final energy -5.747 eV/atom. Number 5: final energy -6.381 eV/atom. Number 6: final energy -6.407 eV/atom. Number 7: final energy -6.425 eV/atom. Number 8: final energy -5.590 eV/atom. Number 9: final energy -3.926 eV/atom. Number 10: final energy -5.445 eV/atom. Number 11: final energy -5.420 eV/atom. Number 12: final energy -5.832 eV/atom. Number 13: final energy -4.585 eV/atom. Number 14: final energy -3.675 eV/atom. Number 15: final energy -5.419 eV/atom. Number 16: final energy -5.404 eV/atom. Number 17: final energy -4.079 eV/atom. Number 18: final energy -4.982 eV/atom. Number 19: final energy -4.792 eV/atom. Number 20: final energy -4.273 eV/atom.